Record 1
## MgAs2Rh (PBE-GGA)

Data for a relaxed MgAs2Rh crystal.

Lattice parameters (Å, degrees): 5.8969 5.8969 6.9559 64.92 64.92 90.00
Fractional positions:
As (0.6674, 0.1250, 0.2500)
As (0.0826, 0.6250, 0.2500)
As (0.3750, 0.3326, 0.7500)
As (0.8750, 0.9174, 0.7500)
Rh (0.0000, 0.0000, 0.0000)
Rh (0.7500, 0.2500, 0.5000)
Mg (0.5000, 0.5000, 0.0000)
Mg (0.2500, 0.7500, 0.5000)

Energy relative to the elements (meV per atom): -139.0
SG: I-42d
Spin magnetization (μB/f.u.): 0.0

Record 2
## MgAsRh2 (PBE-GGA)

Data for a relaxed MgAsRh2 crystal.

Lattice parameters (Å, degrees): 4.4492 4.4492 4.4492 60.00 60.00 60.00
Fractional positions:
As (0.5000, 0.5000, 0.5000)
Mg (0.7500, 0.7500, 0.7500)
Rh (0.0000, 0.0000, 0.0000)
Rh (0.2500, 0.2500, 0.2500)

Energy relative to the elements (meV per atom): -134.5
SG: F-43m
Spin magnetization (μB/f.u.): 0.0

Record 3
## MgAsRh (PBE-GGA)

Data for a relaxed MgAsRh crystal.

Lattice parameters (Å, degrees): 3.8146 6.6781 6.6780 120.00 90.00 90.00
Fractional positions:
Mg (0.5000, 0.4176, 0.4176)
Mg (0.5000, 0.0000, 0.5824)
Mg (0.5000, 0.5824, 0.0000)
As (0.0000, 0.3333, 0.6667)
As (0.0000, 0.6667, 0.3333)
As (0.5000, 0.0000, 0.0000)
Rh (0.0000, 0.7548, 0.7548)
Rh (0.0000, 0.0000, 0.2452)
Rh (0.0000, 0.2452, 0.0000)

Energy relative to the elements (meV per atom): -586.6
SG: P-62m
Spin magnetization (μB/f.u.): 0.0

Record 4
## MgAsRh2 (PBE-GGA)

Data for a relaxed MgAsRh2 crystal.

Lattice parameters (Å, degrees): 7.0081 7.0081 5.7064 52.12 52.12 90.00
Fractional positions:
As (0.0000, 0.0000, 0.0000)
As (0.7500, 0.2500, 0.5000)
Rh (0.6819, 0.1250, 0.2500)
Rh (0.0681, 0.6250, 0.2500)
Rh (0.3750, 0.3181, 0.7500)
Rh (0.8750, 0.9319, 0.7500)
Mg (0.5000, 0.5000, 0.0000)
Mg (0.2500, 0.7500, 0.5000)

Energy relative to the elements (meV per atom): -214.8
SG: I-42d
Spin magnetization (μB/f.u.): 0.0

Record 5
## MgAs2Rh (PBE-GGA)

Data for a relaxed MgAs2Rh crystal.

Lattice parameters (Å, degrees): 3.9840 4.1937 4.9748 69.66 90.00 90.00
Fractional positions:
As (0.0000, 0.8904, 0.9785)
As (0.0000, 0.6096, 0.5215)
Mg (0.5000, 0.2500, 0.2500)
Rh (0.5000, 0.7500, 0.7500)

Energy relative to the elements (meV per atom): -252.6
SG: P2/m
Spin magnetization (μB/f.u.): 0.0

Record 6
## MgAsRh2 (PBE-GGA)

Data for a relaxed MgAsRh2 crystal.

Lattice parameters (Å, degrees): 4.4233 4.4233 5.0019 79.80 79.80 39.51
Fractional positions:
As (0.7500, 0.7500, 0.7500)
Mg (0.2500, 0.2500, 0.2500)
Rh (0.0047, 0.0047, 0.9840)
Rh (0.4953, 0.4953, 0.5160)

Energy relative to the elements (meV per atom): -354.2
SG: C2/m
Spin magnetization (μB/f.u.): 0.0

Record 7
## MgAsRh2 (PBE-GGA)

Data for a relaxed MgAsRh2 crystal.

Lattice parameters (Å, degrees): 8.1572 8.1572 8.1572 21.40 21.40 21.40
Fractional positions:
As (0.2500, 0.2500, 0.2500)
Mg (0.7500, 0.7500, 0.7500)
Rh (0.9927, 0.9927, 0.9927)
Rh (0.5073, 0.5073, 0.5073)

Energy relative to the elements (meV per atom): -300.3
SG: R-3m
Spin magnetization (μB/f.u.): 0.0

Record 8
## MgAsRh (PBE-GGA)

Data for a relaxed MgAsRh crystal.

Lattice parameters (Å, degrees): 3.2148 3.2148 5.9641 90.00 90.00 120.00
Fractional positions:
As (0.0000, 0.0000, 0.9577)
Mg (0.3333, 0.6667, 0.3488)
Rh (0.6667, 0.3333, 0.6935)

Energy relative to the elements (meV per atom): -376.8
SG: P3m1
Spin magnetization (μB/f.u.): 0.0

no.,density (g cm⁻³)
1,4.8
2,8.1
3,6.8
4,7.3
5,5.9
6,8.3
7,8.0
8,6.3